(1)
Entry from the Alexandria database: crystalline Zr2ScMn at its relaxed geometry (PBE-GGA).

Summary:
volume: 20.27 Å³/atom
calculated formation energy: 0.595 eV per formula unit

Cell: 3.1812 4.4230 5.9618 Å, 90.00 104.89 90.00°
Element x y z (fractional)
Zr 0.1054 0.0000 0.2745
Zr 0.8946 0.0000 0.7255
Sc 0.5000 0.5000 0.0000
Mn 0.5000 0.5000 0.5000

=====

(2)
Entry from the Alexandria database: crystalline Zr2ScMn at its relaxed geometry (PBE-GGA).

Summary:
volume: 20.89 Å³/atom
calculated formation energy: 0.830 eV per formula unit

Cell: 4.9070 4.9070 4.9070 Å, 60.00 60.00 60.00°
Element x y z (fractional)
Zr 0.0000 0.0000 0.0000
Zr 0.2500 0.2500 0.2500
Sc 0.7500 0.7500 0.7500
Mn 0.5000 0.5000 0.5000

=====

(3)
Entry from the Alexandria database: crystalline ZrScMn2 at its relaxed geometry (PBE-GGA).

Summary:
volume: 17.73 Å³/atom
calculated formation energy: 0.597 eV per formula unit

Cell: 5.2909 5.2909 5.2909 Å, 135.83 135.83 64.24°
Element x y z (fractional)
Zr 0.0000 0.0000 0.0000
Sc 0.7500 0.2500 0.5000
Mn 0.2500 0.7500 0.5000
Mn 0.5000 0.5000 0.0000

=====

(4)
Entry from the Alexandria database: crystalline Zr3ScMn8 at its relaxed geometry (PBE-GGA).

Summary:
volume: 14.53 Å³/atom
calculated formation energy: -2.076 eV per formula unit

Cell: 8.3941 8.3941 8.3941 Å, 35.07 35.07 35.07°
Element x y z (fractional)
Zr 0.0000 0.0000 0.0000
Zr 0.1269 0.1269 0.1269
Zr 0.5016 0.5016 0.5016
Sc 0.6270 0.6270 0.6270
Mn 0.0630 0.5644 0.5644
Mn 0.0638 0.0638 0.5641
Mn 0.0638 0.5641 0.0638
Mn 0.3139 0.3139 0.3139
Mn 0.5644 0.0630 0.5644
Mn 0.5641 0.0638 0.0638
Mn 0.5644 0.5644 0.0630
Mn 0.8141 0.8141 0.8141

=====

(5)
Entry from the Alexandria database: crystalline Zr2ScMn at its relaxed geometry (PBE-GGA).

Summary:
volume: 20.84 Å³/atom
calculated formation energy: 0.640 eV per formula unit

Cell: 5.4025 5.4025 5.4025 Å, 132.79 132.79 68.98°
Element x y z (fractional)
Zr 0.0000 0.0000 0.0000
Zr 0.7500 0.2500 0.5000
Sc 0.5000 0.5000 0.0000
Mn 0.2500 0.7500 0.5000

=====

(6)
Entry from the Alexandria database: crystalline ZrScMn3 at its relaxed geometry (PBE-GGA).

Summary:
volume: 21.46 Å³/atom
calculated formation energy: 5.183 eV per formula unit

Cell: 4.7517 4.7517 4.7517 Å, 90.00 90.00 90.00°
Element x y z (fractional)
Zr 0.0000 0.0000 0.0000
Sc 0.5000 0.5000 0.5000
Mn 0.0000 0.0000 0.5000
Mn 0.0000 0.5000 0.0000
Mn 0.5000 0.0000 0.0000

=====

(7)
Entry from the Alexandria database: crystalline ZrScMn2 at its relaxed geometry (PBE-GGA).

Summary:
volume: 17.60 Å³/atom
calculated formation energy: 0.144 eV per formula unit

Cell: 4.3041 3.3496 5.3330 Å, 90.00 113.70 90.00°
Element x y z (fractional)
Zr 0.0000 0.0000 0.0000
Sc 0.7071 0.5000 0.4135
Mn 0.2898 0.0000 0.5791
Mn 0.4166 0.5000 0.8330

=====

(8)
Entry from the Alexandria database: crystalline ZrScMn at its relaxed geometry (PBE-GGA).

Summary:
volume: 20.17 Å³/atom
calculated formation energy: 1.009 eV per formula unit

Cell: 4.4064 4.4064 4.4064 Å, 60.00 60.00 60.00°
Element x y z (fractional)
Zr 0.0000 0.0000 0.0000
Sc 0.5000 0.5000 0.5000
Mn 0.7500 0.7500 0.7500

=====

(9)
Entry from the Alexandria database: crystalline ZrScMn2 at its relaxed geometry (PBE-GGA).

Summary:
volume: 17.14 Å³/atom
calculated formation energy: 0.152 eV per formula unit

Cell: 2.9233 2.9233 8.0218 Å, 90.00 90.00 90.00°
Element x y z (fractional)
Zr 0.0000 0.0000 0.0000
Sc 0.5000 0.5000 0.6373
Mn 0.0000 0.0000 0.4022
Mn 0.5000 0.5000 0.2462

=====

(10)
Entry from the Alexandria database: crystalline ZrScMn4 at its relaxed geometry (PBE-GGA).

Summary:
volume: 14.16 Å³/atom
calculated formation energy: -0.943 eV per formula unit

Cell: 4.9346 4.9346 4.9346 Å, 60.00 60.00 60.00°
Element x y z (fractional)
Zr 0.0000 0.0000 0.0000
Sc 0.7500 0.7500 0.7500
Mn 0.3751 0.3751 0.3751
Mn 0.3751 0.3751 0.8748
Mn 0.3751 0.8748 0.3751
Mn 0.8748 0.3751 0.3751

=====

(11)
Entry from the Alexandria database: crystalline Zr2ScMn at its relaxed geometry (PBE-GGA).

Summary:
volume: 20.28 Å³/atom
calculated formation energy: 0.795 eV per formula unit

Cell: 9.3966 9.3966 9.3966 Å, 19.53 19.53 19.53°
Element x y z (fractional)
Zr 0.0000 0.0000 0.0000
Zr 0.2383 0.2383 0.2383
Sc 0.4708 0.4708 0.4708
Mn 0.7341 0.7341 0.7341

=====

(12)
Entry from the Alexandria database: crystalline Zr2ScMn2 at its relaxed geometry (PBE-GGA).

Summary:
volume: 19.14 Å³/atom
calculated formation energy: -0.046 eV per formula unit

Cell: 7.3784 7.3784 3.5159 Å, 90.00 90.00 90.00°
Element x y z (fractional)
Zr 0.1667 0.3333 0.0000
Zr 0.3333 0.8333 0.0000
Zr 0.6667 0.1667 0.0000
Zr 0.8333 0.6667 0.0000
Sc 0.0000 0.0000 0.5000
Sc 0.5000 0.5000 0.5000
Mn 0.1250 0.6250 0.5000
Mn 0.3750 0.1250 0.5000
Mn 0.6250 0.8750 0.5000
Mn 0.8750 0.3750 0.5000

=====

(13)
Entry from the Alexandria database: crystalline Zr2ScMn at its relaxed geometry (PBE-GGA).

Summary:
volume: 20.68 Å³/atom
calculated formation energy: 0.744 eV per formula unit

Cell: 9.2884 9.2884 9.2884 Å, 20.09 20.09 20.09°
Element x y z (fractional)
Zr 0.2344 0.2344 0.2344
Zr 0.7656 0.7656 0.7656
Sc 0.0000 0.0000 0.0000
Mn 0.5000 0.5000 0.5000

=====

(14)
Entry from the Alexandria database: crystalline Zr2ScMn at its relaxed geometry (PBE-GGA).

Summary:
volume: 20.38 Å³/atom
calculated formation energy: 0.630 eV per formula unit

Cell: 3.1637 4.5667 5.8554 Å, 90.00 105.47 90.00°
Element x y z (fractional)
Zr 0.0000 0.0000 0.0000
Zr 0.3280 0.5000 0.7313
Sc 0.6673 0.0000 0.4612
Mn 0.8244 0.5000 0.2170

=====

(15)
Entry from the Alexandria database: crystalline Zr2Sc2Mn at its relaxed geometry (PBE-GGA).

Summary:
volume: 21.62 Å³/atom
calculated formation energy: 0.943 eV per formula unit

Cell: 6.5465 6.5465 5.0444 Å, 90.00 90.00 90.00°
Element x y z (fractional)
Zr 0.1546 0.3454 0.0000
Zr 0.3454 0.8454 0.0000
Zr 0.6546 0.1546 0.0000
Zr 0.8454 0.6546 0.0000
Sc 0.1666 0.6666 0.5000
Sc 0.3334 0.1666 0.5000
Sc 0.6666 0.8334 0.5000
Sc 0.8334 0.3334 0.5000
Mn 0.0000 0.0000 0.0000
Mn 0.5000 0.5000 0.0000

=====

(16)
Entry from the Alexandria database: crystalline ZrScMn2 at its relaxed geometry (PBE-GGA).

Summary:
volume: 17.92 Å³/atom
calculated formation energy: 0.894 eV per formula unit

Cell: 4.6629 4.6629 4.6629 Å, 60.00 60.00 60.00°
Element x y z (fractional)
Zr 0.0000 0.0000 0.0000
Sc 0.7500 0.7500 0.7500
Mn 0.2500 0.2500 0.2500
Mn 0.5000 0.5000 0.5000

=====

(17)
Entry from the Alexandria database: crystalline ZrScMn2 at its relaxed geometry (PBE-GGA).

Summary:
volume: 18.57 Å³/atom
calculated formation energy: 1.236 eV per formula unit

Cell: 4.8235 4.8235 5.3520 Å, 100.59 100.59 37.44°
Element x y z (fractional)
Zr 0.0000 0.0000 0.0000
Sc 0.5000 0.5000 0.5000
Mn 0.2501 0.2501 0.7667
Mn 0.7499 0.7499 0.2333

=====

(18)
Entry from the Alexandria database: crystalline ZrScMn2 at its relaxed geometry (PBE-GGA).

Summary:
volume: 18.05 Å³/atom
calculated formation energy: 1.795 eV per formula unit

Cell: 5.7788 5.7788 5.7788 Å, 104.30 104.30 120.40°
Element x y z (fractional)
Zr 0.0000 0.0000 0.0000
Zr 0.7500 0.2500 0.5000
Sc 0.2500 0.7500 0.5000
Sc 0.5000 0.5000 0.0000
Mn 0.1251 0.1250 0.5001
Mn 0.3750 0.8749 0.9999
Mn 0.6249 0.6250 0.4999
Mn 0.8750 0.3751 0.0001

=====

(19)
Entry from the Alexandria database: crystalline ZrScMn2 at its relaxed geometry (PBE-GGA).

Summary:
volume: 16.56 Å³/atom
calculated formation energy: 0.189 eV per formula unit

Cell: 4.5448 4.5448 3.2064 Å, 90.00 90.00 90.00°
Element x y z (fractional)
Zr 0.0000 0.0000 0.0000
Sc 0.5000 0.5000 0.0000
Mn 0.0000 0.5000 0.5000
Mn 0.5000 0.0000 0.5000

=====

(20)
Entry from the Alexandria database: crystalline Zr2ScMn at its relaxed geometry (PBE-GGA).

Summary:
volume: 19.74 Å³/atom
calculated formation energy: 0.028 eV per formula unit

Cell: 5.7223 5.7223 4.8418 Å, 114.63 114.63 33.59°
Element x y z (fractional)
Zr 0.0000 0.0000 0.0000
Zr 0.2055 0.2055 0.7053
Sc 0.7922 0.7922 0.2931
Mn 0.5073 0.5073 0.4768

=====

(21)
Entry from the Alexandria database: crystalline ZrSc3Mn at its relaxed geometry (PBE-GGA).

Summary:
volume: 22.64 Å³/atom
calculated formation energy: 1.613 eV per formula unit

Cell: 4.8372 4.8372 4.8372 Å, 90.00 90.00 90.00°
Element x y z (fractional)
Zr 0.0000 0.0000 0.0000
Sc 0.0000 0.5000 0.5000
Sc 0.5000 0.0000 0.5000
Sc 0.5000 0.5000 0.0000
Mn 0.5000 0.5000 0.5000

=====

(22)
Entry from the Alexandria database: crystalline ZrScMn at its relaxed geometry (PBE-GGA).

Summary:
volume: 19.05 Å³/atom
calculated formation energy: 0.500 eV per formula unit

Cell: 4.6177 4.6177 3.0941 Å, 90.00 90.00 120.00°
Element x y z (fractional)
Zr 0.0000 0.0000 0.0000
Sc 0.6667 0.3333 0.5617
Mn 0.3333 0.6667 0.2453

=====

(23)
Entry from the Alexandria database: crystalline Zr2ScMn at its relaxed geometry (PBE-GGA).

Summary:
volume: 20.22 Å³/atom
calculated formation energy: 0.709 eV per formula unit

Cell: 4.7128 4.7128 3.6419 Å, 90.00 90.00 90.00°
Element x y z (fractional)
Zr 0.0000 0.5000 0.0000
Zr 0.5000 0.0000 0.0000
Sc 0.0000 0.0000 0.5000
Mn 0.5000 0.5000 0.5000

=====

(24)
Entry from the Alexandria database: crystalline Zr2ScMn at its relaxed geometry (PBE-GGA).

Summary:
volume: 19.92 Å³/atom
calculated formation energy: 0.159 eV per formula unit

Cell: 3.2310 3.2310 7.6343 Å, 90.00 90.00 90.00°
Element x y z (fractional)
Zr 0.0000 0.0000 0.0000
Zr 0.5000 0.5000 0.2814
Sc 0.5000 0.5000 0.6817
Mn 0.0000 0.0000 0.4743

=====

(25)
Entry from the Alexandria database: crystalline ZrScMn2 at its relaxed geometry (PBE-GGA).

Summary:
volume: 16.66 Å³/atom
calculated formation energy: 0.173 eV per formula unit

Cell: 3.2222 3.2222 6.4181 Å, 90.00 90.00 90.00°
Element x y z (fractional)
Zr 0.0000 0.0000 0.0000
Sc 0.0000 0.0000 0.5000
Mn 0.5000 0.5000 0.2350
Mn 0.5000 0.5000 0.7650

=====

(26)
Entry from the Alexandria database: crystalline ZrSc3Mn at its relaxed geometry (PBE-GGA).

Summary:
volume: 25.12 Å³/atom
calculated formation energy: 7.139 eV per formula unit

Cell: 5.0078 5.0078 5.0078 Å, 90.00 90.00 90.00°
Element x y z (fractional)
Zr 0.0000 0.0000 0.0000
Sc 0.0000 0.0000 0.5000
Sc 0.0000 0.5000 0.0000
Sc 0.5000 0.0000 0.0000
Mn 0.5000 0.5000 0.5000

=====

(27)
Entry from the Alexandria database: crystalline MnSe2 at its relaxed geometry (PBE-GGA).

Summary:
volume: 24.72 Å³/atom
raw formation energy: -238 meV per atom

Cell: 7.5412 7.5412 7.0156 Å, 117.70 117.70 25.01°
Element x y z (fractional)
Mn 0.0000 0.0000 0.0000
Mn 0.6158 0.6158 0.3621
Se 0.1773 0.1773 0.1796
Se 0.2044 0.2044 0.6483
Se 0.4162 0.4162 0.7393
Se 0.9777 0.9777 0.3022

=====

(28)
Entry from the Alexandria database: crystalline Mn4Se at its relaxed geometry (PBE-GGA).

Summary:
volume: 16.26 Å³/atom
raw formation energy: 728 meV per atom

Cell: 4.7267 4.7267 4.7267 Å, 109.47 109.47 109.47°
Element x y z (fractional)
Mn 0.0000 0.0000 0.5000
Mn 0.0000 0.5000 0.0000
Mn 0.5000 0.0000 0.0000
Mn 0.5000 0.5000 0.5000
Se 0.0000 0.0000 0.0000

=====

(29)
Entry from the Alexandria database: crystalline MnSe5 at its relaxed geometry (PBE-GGA).

Summary:
volume: 26.19 Å³/atom
raw formation energy: -10 meV per atom

Cell: 7.1425 7.1425 7.7216 Å, 112.35 112.35 25.67°
Element x y z (fractional)
Mn 0.0000 0.0000 0.0000
Se 0.3206 0.3206 0.5502
Se 0.3491 0.3491 0.8716
Se 0.5683 0.5683 0.8172
Se 0.6451 0.6451 0.1492
Se 0.9634 0.9634 0.2719

=====

| no. | electronic total energy (hartree per atom) | ρ (g/cm³) | magnetic moment (μB/cell) |
| --- | --- | --- | --- |
| 1 | -0.29401 | 5.78 | 1.502 |
| 2 | -0.29185 | 5.61 | 0.457 |
| 3 | -0.29971 | 5.76 | 4.788 |
| 4 | -0.32893 | 7.22 | 5.671 |
| 5 | -0.29361 | 5.62 | 3.207 |
| 6 | -0.27345 | 4.66 | 8.700 |
| 7 | -0.30387 | 5.80 | 0.000 |
| 8 | -0.28223 | 5.25 | 0.300 |
| 9 | -0.30379 | 5.96 | 0.756 |
| 10 | -0.32156 | 6.96 | 1.908 |
| 11 | -0.29218 | 5.78 | 0.740 |
| 12 | -0.30732 | 5.85 | 6.968 |
| 13 | -0.29265 | 5.67 | 1.052 |
| 14 | -0.29369 | 5.75 | 1.630 |
| 15 | -0.27919 | 5.03 | 1.347 |
| 16 | -0.29698 | 5.70 | 5.957 |
| 17 | -0.29384 | 5.50 | 5.501 |
| 18 | -0.28870 | 5.66 | 8.021 |
| 19 | -0.30346 | 6.17 | 2.757 |
| 20 | -0.29923 | 5.94 | 0.000 |
| 21 | -0.25797 | 4.12 | 0.373 |
| 22 | -0.28848 | 5.55 | 1.755 |
| 23 | -0.29297 | 5.80 | 0.849 |
| 24 | -0.29802 | 5.88 | 0.532 |
| 25 | -0.30360 | 6.13 | 2.738 |
| 26 | -0.21736 | 3.72 | 0.210 |
| 27 | -0.20642 | 4.77 | 3.726 |
| 28 | -0.26843 | 6.10 | 11.302 |
| 29 | -0.16326 | 4.75 | 2.317 |